# 1
Below is a geometry-optimized SrCuSe2 structure, with properties calculated at the PBEsol level.

* total DFT energy (no corrections): -4.28 eV per atom
* total magnetization: 0.0 μB per cell
* energy relative to the elements, uncorrected: -808 meV/atom
* space-group type: C2/m

POSCAR file:
```
SrCuSe2
1.0
4.0210 0.0256 0.0525
1.7482 3.6212 0.0525
1.5867 1.0030 6.3196
Cu Se Sr
1 2 1
Cartesian
2.8846 1.8234 0.0525
2.7183 1.7183 5.1007
4.6376 2.9315 1.3239
0.7933 0.5015 3.1598
```

# 2
Below is a geometry-optimized MnCr structure, with properties calculated at the PBEsol level.

* total DFT energy (no corrections): -9.92 eV per atom
* total magnetization: 1.6 μB per cell
* calculated formation energy: 80.6 meV/atom
* space-group type: Cmme

POSCAR file:
```
MnCr
1.0
-1.2442 -1.8251 0.9750
0.8736 -0.6883 -2.1431
6.5389 -2.5894 3.4969
Cr Mn
2 2
Cartesian
1.1755 -1.3017 -0.9190
4.9928 -3.8011 3.2478
4.4216 -2.5872 0.8170
1.7466 -2.5156 1.5118
```

- The lowest total magnetization belongs to which entry?
  SrCuSe2

- Which of these has the highest total DFT energy (no corrections)?
  SrCuSe2

- Look up the total DFT energy (no corrections) of the first one.
  -4.28 eV per atom

- Which of these has the highest total magnetization?
  MnCr